Entry 1:
First-principles (GGA-PBE) data for a geometry-optimized PuTlGa structure, as listed in Alexandria.

a = 3.2173 Å, b = 20.3703 Å, c = 4.4693 Å
α = 90.00°, β = 90.00°, γ = 90.00°
Closest atoms and distances in Å follow each position.
Space group Cmcm (No. 63)
Unique sites:
Pu (0.0000, 0.1011, 0.2500)  6 Ga 3.07-3.20, 2 Pu 3.22
Tl (0.0000, 0.2959, 0.2500)  6 Tl 3.22-3.33, 1 Ga 3.46, 4 Pu 3.46
Ga (0.0000, 0.4655, 0.2500)  2 Ga 2.64

Properties
Relative energy among the computed polymorphs in meV per atom: 0
Total magnetic moment in Bohr magnetons per cell: 23.0
E_tot in eV per atom: -6.723
Energy of formation in eV per atom: -0.1483
V in Å³/f.u.: 73

---

Entry 2:
First-principles (GGA-PBE) data for a geometry-optimized PuTl2Ga structure, as listed in Alexandria.

a = 4.5881 Å, b = 4.5881 Å, c = 4.7612 Å
α = 90.00°, β = 90.00°, γ = 90.00°
Closest atoms and distances in Å follow each position.
Space group P4/mmm (No. 123)
Unique sites:
Pu (0.0000, 0.0000, 0.0000)  4 Ga 3.24, 8 Tl 3.31
Tl (0.0000, 0.5000, 0.5000)  4 Tl 3.24, 4 Pu 3.31, 4 Ga 3.31
Ga (0.5000, 0.5000, 0.0000)  4 Pu 3.24, 8 Tl 3.31

Properties
Relative energy among the computed polymorphs in meV per atom: 0
Total magnetic moment in Bohr magnetons per cell: 5.7
E_tot in eV per atom: -5.603
Energy of formation in eV per atom: -0.0803
V in Å³/f.u.: 100

---

Entry 3:
First-principles (GGA-PBE) data for a geometry-optimized PuTlGa structure, as listed in Alexandria.

a = 6.8444 Å, b = 6.8444 Å, c = 6.8444 Å
α = 90.00°, β = 90.00°, γ = 90.00°
Closest atoms and distances in Å follow each position.
Space group F-43m (No. 216)
Unique sites:
Pu (0.0000, 0.0000, 0.0000)  4 Ga 2.96
Tl (0.0000, 0.0000, 0.5000)  4 Ga 2.96
Ga (0.2500, 0.2500, 0.7500)  4 Tl 2.96, 4 Pu 2.96

Properties
Relative energy among the computed polymorphs in meV per atom: 136
Total magnetic moment in Bohr magnetons per cell: 23.5
E_tot in eV per atom: -6.588
Energy of formation in eV per atom: -0.0127
V in Å³/f.u.: 80

---

Entry 4:
First-principles (GGA-PBE) data for a geometry-optimized Pu3TlGa2 structure, as listed in Alexandria.

a = 3.9114 Å, b = 3.9114 Å, c = 8.7906 Å
α = 90.00°, β = 90.00°, γ = 90.00°
Closest atoms and distances in Å follow each position.
Space group P4/mmm (No. 123)
Unique sites:
Pu (0.0000, 0.0000, 0.0000)  2 Pu 2.53
Pu (0.0000, 0.0000, 0.2874)  1 Pu 2.53
Tl (0.5000, 0.5000, 0.5000)  2 Ga 3.11, 8 Pu 3.34
Ga (0.5000, 0.5000, 0.1458)  1 Ga 2.56

Properties
Total magnetic moment in Bohr magnetons per cell: 10.8
E_tot in eV per atom: -8.508
Energy of formation in eV per atom: 0.0613
V in Å³/f.u.: 134